## Dy2HPb2 (PBE-GGA)

Data for a relaxed Dy2HPb2 crystal.

a = 7.741 Å, b = 7.741 Å, c = 7.741 Å
α = 133.59°, β = 67.32°, γ = 134.11°
Positions (direct):
Dy: 0.068 0.237 0.304
Dy: 0.432 0.737 0.169
Dy: 0.568 0.263 0.831
Dy: 0.932 0.763 0.696
H: 0.250 0.250 0.000
H: 0.750 0.750 0.000
Pb: 0.185 0.717 0.902
Pb: 0.315 0.217 0.532
Pb: 0.685 0.783 0.468
Pb: 0.815 0.283 0.098

Summary:
The crystal system is orthorhombic. Its space group is Ibam (72).



## Dy3H2Pb (PBE-GGA)

Data for a relaxed Dy3H2Pb crystal.

a = 11.822 Å, b = 11.822 Å, c = 6.315 Å
α = 103.97°, β = 103.97°, γ = 17.47°
Positions (direct):
Dy: 0.032 0.032 0.275
Dy: 0.235 0.235 0.214
Dy: 0.396 0.396 0.136
Dy: 0.604 0.604 0.864
Dy: 0.765 0.765 0.786
Dy: 0.968 0.968 0.725
H: 0.057 0.057 0.951
H: 0.293 0.293 0.989
H: 0.707 0.707 0.011
H: 0.943 0.943 0.049
Pb: 0.351 0.351 0.578
Pb: 0.649 0.649 0.422

Summary:
The crystal system is monoclinic. Its space group is C2/m (12).



| no. | E_tot (eV per atom) |
| --- | --- |
| 1 | -4.3757 |
| 2 | -4.4589 |